Entry 1:
First-principles (PBE) data for MgRePb2 after structural relaxation, as listed in Alexandria via LeMat-Bulk.

energy of formation from the pure elements: 640.3 meV/atom

```
MgRePb2
1.0
-8.269 4.342 3.851
-5.784 -6.717 -4.846
-6.900 -2.824 1.619
Pb Re Mg
4 2 2
Direct
0.875 0.125 0.250
0.875 0.625 0.250
0.375 0.125 0.750
0.875 0.125 0.750
0.000 0.000 0.000
0.750 0.250 0.500
0.500 0.500 0.000
0.250 0.750 0.500
```



Entry 2:
First-principles (PBE) data for Ac3Pd3Pb after structural relaxation, as listed in Alexandria via LeMat-Bulk.

energy of formation from the pure elements: -581.0 meV/atom

```
Ac3Pd3Pb
1.0
6.102 0.000 0.000
0.000 9.349 0.000
0.000 -4.675 8.097
Ac Pd Pb
6 6 2
Direct
0.750 0.691 0.640
0.750 0.360 0.050
0.750 0.950 0.309
0.250 0.309 0.360
0.250 0.640 0.950
0.250 0.050 0.691
0.250 0.688 0.645
0.250 0.355 0.043
0.250 0.957 0.312
0.750 0.312 0.355
0.750 0.645 0.957
0.750 0.043 0.688
0.250 0.667 0.333
0.750 0.333 0.667
```



Entry 3:
First-principles (PBE) data for LiThMgSi2 after structural relaxation, as listed in Alexandria via LeMat-Bulk.

E_form (uncorrected): -0.444 eV per atom

```
LiThMgSi2
1.0
4.147 0.000 0.000
0.000 4.147 0.000
-2.074 -2.074 5.778
Li Th Mg Si
1 1 1 2
Direct
0.250 0.750 0.500
0.000 0.000 0.000
0.750 0.250 0.500
0.603 0.603 0.206
0.397 0.397 0.794
```



For reference, total moment by record: 0.00, 0.00, 0.00 μB/f.u..
For reference, DFT total energy by record: -18.9, -35.7, -24.0 eV/f.u..